# Rb2OsAuF6

Crystalline Rb2OsAuF6 at its relaxed geometry (PBE, Alexandria).

The space group is I4/mmm (No. 139) and the conventional cell measures 6.8184, 6.8184 and 8.7088 Å, with angles of 90.00, 90.00 and 90.00 degrees. The distinct sites, in fractional coordinates, are Rb at (0.0000, 0.5000, 0.2500), Os at (0.0000, 0.0000, 0.0000), Au at (0.0000, 0.0000, 0.5000), F at (0.0000, 0.0000, 0.2379) and F at (0.2062, 0.2062, 0.0000).

The uncorrected formation energy comes out at -1.688 eV per atom.